Entry 1:
Entry from Alexandria: a relaxed structure of Y2SiW (GGA-PBE).

```
data_Y2SiW
_symmetry_space_group_name_H-M 'P 1'
_symmetry_Int_Tables_number 1
_cell_length_a 6.334
_cell_length_b 6.334
_cell_length_c 6.334
_cell_angle_alpha 100.86
_cell_angle_beta 100.86
_cell_angle_gamma 128.54
loop_
_symmetry_equiv_pos_as_xyz
'x,y,z'
loop_
_atom_site_label
_atom_site_type_symbol
_atom_site_fract_x
_atom_site_fract_y
_atom_site_fract_z
Y1 Y 0.101 0.125 0.476
Y2 Y 0.375 0.899 0.024
Y3 Y 0.649 0.625 0.524
Y4 Y 0.875 0.351 0.976
Si1 Si 0.000 0.000 0.000
Si2 Si 0.750 0.250 0.500
W1 W 0.250 0.750 0.500
W2 W 0.500 0.500 0.000
```

Computed properties:
Symmetry ... I-42d
E_form (uncorrected) ... 0.6275 eV/atom
E_tot ... -7.20 eV per atom
Crystal system ... tetragonal

---

Entry 2:
Entry from Alexandria: a relaxed structure of AcSnPt2 (GGA-PBE).

```
data_AcSnPt2
_symmetry_space_group_name_H-M 'P 1'
_symmetry_Int_Tables_number 1
_cell_length_a 3.640
_cell_length_b 3.640
_cell_length_c 6.973
_cell_angle_alpha 90.00
_cell_angle_beta 90.00
_cell_angle_gamma 90.00
loop_
_symmetry_equiv_pos_as_xyz
'x,y,z'
loop_
_atom_site_label
_atom_site_type_symbol
_atom_site_fract_x
_atom_site_fract_y
_atom_site_fract_z
Ac1 Ac 0.000 0.000 0.000
Sn1 Sn 0.000 0.000 0.500
Pt1 Pt 0.500 0.500 0.290
Pt2 Pt 0.500 0.500 0.710
```

Computed properties:
Symmetry ... P4/mmm
E_tot ... -5.71 eV per atom
Crystal system ... tetragonal

---

Result set for total moment: 0.434, 0.000 μB per formula unit, one per record in the order listed.